# LiBeAg2F GGA-PBEsol relaxed
data_LiBeAg2F
_chemical_formula_sum 'Li1 Be1 Ag2 F1'
_symmetry_space_group_name_H-M 'P 4/m m m'
_symmetry_Int_Tables_number 123
_symmetry_space_group_name_Hall '-P 4 2'
_cell_length_a 4.773
_cell_length_b 4.773
_cell_length_c 3.202
_cell_angle_alpha 90.00
_cell_angle_beta 90.00
_cell_angle_gamma 90.00
loop_
_atom_site_label
_atom_site_fract_x
_atom_site_fract_y
_atom_site_fract_z
_atom_site_occupancy
Li1 0.000 0.000 0.000 1
Be1 0.500 0.500 0.000 1
Ag1 0.000 0.500 0.500 1
F1 0.000 0.000 0.500 1
# Energy relative to the elements, uncorrected (eV/atom): -0.297
# Spin magnetization (μB per atom): 0.000